(1)
The following is a GGA-PBE calculation of crystalline Rb3ErO3 at its relaxed geometry, from the Alexandria database.

Results
- calculated volume (Å³ per atom) = 24.56
- energy (eV per cell) = -143.77
- distance to the lowest polymorph of the same formula (meV/atom) = 0.0

a b c (Å): 7.8135 7.4136 11.8975
angles (deg): 90.00 93.86 90.00
Fractional coordinates of all 28 atoms:
Rb 0.0745 0.1231 0.1599
Rb 0.0745 0.3769 0.6599
Rb 0.3542 0.1588 0.9201
Rb 0.3542 0.3412 0.4201
Rb 0.3792 0.6929 0.8115
Rb 0.3792 0.8071 0.3115
Rb 0.6208 0.1929 0.6885
Rb 0.6208 0.3071 0.1885
Rb 0.6458 0.6588 0.5799
Rb 0.6458 0.8412 0.0799
Rb 0.9255 0.6231 0.3401
Rb 0.9255 0.8769 0.8401
Er 0.1593 0.5903 0.0698
Er 0.1593 0.9097 0.5698
Er 0.8407 0.0903 0.4302
Er 0.8407 0.4097 0.9302
O 0.1154 0.0508 0.4097
O 0.1154 0.4492 0.9097
O 0.2558 0.6466 0.5501
O 0.2558 0.8534 0.0501
O 0.3001 0.0522 0.6964
O 0.3001 0.4478 0.1964
O 0.6999 0.5522 0.8036
O 0.6999 0.9478 0.3036
O 0.7442 0.1466 0.9499
O 0.7442 0.3534 0.4499
O 0.8846 0.5508 0.0903
O 0.8846 0.9492 0.5903

=====

(2)
The following is a GGA-PBE calculation of crystalline TiBiF at its relaxed geometry, from the Alexandria database.

Results
- calculated volume (Å³ per atom) = 19.84
- energy (eV per cell) = -35.18

a b c (Å): 6.0452 6.0452 7.1092
angles (deg): 111.37 111.37 29.64
Fractional coordinates of all 6 atoms:
Ti 0.2143 0.2143 0.1454
Ti 0.7857 0.7857 0.8546
Bi 0.4854 0.4854 0.2158
Bi 0.5146 0.5146 0.7842
F 0.2194 0.2194 0.6508
F 0.7806 0.7806 0.3492

=====

(3)
The following is a GGA-PBE calculation of crystalline VGa2Se6 at its relaxed geometry, from the Alexandria database.

Results
- calculated volume (Å³ per atom) = 25.68
- energy (eV per cell) = -79.81

a b c (Å): 8.2479 8.2479 7.0329
angles (deg): 100.56 100.56 88.75
Fractional coordinates of all 18 atoms:
V 0.0999 0.9001 0.7500
V 0.9001 0.0999 0.2500
Ga 0.2196 0.4032 0.6799
Ga 0.4032 0.2196 0.1799
Ga 0.5968 0.7804 0.8201
Ga 0.7804 0.5968 0.3201
Se 0.0327 0.1707 0.6077
Se 0.0465 0.6240 0.7977
Se 0.1707 0.0327 0.1077
Se 0.3510 0.4795 0.4130
Se 0.3760 0.9535 0.7023
Se 0.4795 0.3510 0.9130
Se 0.5205 0.6490 0.0870
Se 0.6240 0.0465 0.2977
Se 0.6490 0.5205 0.5870
Se 0.8293 0.9673 0.8923
Se 0.9535 0.3760 0.2023
Se 0.9673 0.8293 0.3923

=====

Short version: energy relative to the elements, uncorrected = -1.94, -1.31, -0.42 eV per atom, in the order given.